1.
Computed, not measured: a geometry-optimized Ho2BeFe2Co5 structure at the PBE-GGA level of DFT.

Cell and atoms, written as CIF:
```
data_Ho2BeFe2Co5
_cell_length_a 9.348
_cell_length_b 9.348
_cell_length_c 3.187
_cell_angle_alpha 90.00
_cell_angle_beta 90.00
_cell_angle_gamma 90.00
_symmetry_space_group_name_H-M 'P 1'
_symmetry_Int_Tables_number 1
loop_
_symmetry_equiv_pos_as_xyz
'x,y,z'
loop_
_atom_site_label
_atom_site_type_symbol
_atom_site_fract_x
_atom_site_fract_y
_atom_site_fract_z
_atom_site_occupancy
Ho1 Ho 0.174 0.326 0.000 1
Ho2 Ho 0.326 0.826 0.000 1
Ho3 Ho 0.674 0.174 0.000 1
Ho4 Ho 0.826 0.674 0.000 1
Be1 Be 0.000 0.000 0.000 1
Be2 Be 0.500 0.500 0.000 1
Fe1 Fe 0.132 0.632 0.000 1
Fe2 Fe 0.368 0.132 0.000 1
Fe3 Fe 0.632 0.868 0.000 1
Fe4 Fe 0.868 0.368 0.000 1
Co1 Co 0.000 0.500 0.500 1
Co2 Co 0.052 0.815 0.500 1
Co3 Co 0.185 0.052 0.500 1
Co4 Co 0.315 0.552 0.500 1
Co5 Co 0.448 0.315 0.500 1
Co6 Co 0.500 0.000 0.500 1
Co7 Co 0.552 0.685 0.500 1
Co8 Co 0.685 0.448 0.500 1
Co9 Co 0.815 0.948 0.500 1
Co10 Co 0.948 0.185 0.500 1
```

Properties
As for the energy relative to the elements: 0.5 eV/f.u. The space-group type is P4/mbm, No. 127. The calculation puts the total energy at -6.482 eV/atom.

***

2.
Computed, not measured: a geometry-optimized ThTaSb2 structure at the PBE-GGA level of DFT.

Cell and atoms, written as CIF:
```
data_ThTaSb2
_cell_length_a 11.350
_cell_length_b 11.350
_cell_length_c 11.350
_cell_angle_alpha 16.53
_cell_angle_beta 16.53
_cell_angle_gamma 16.53
_symmetry_space_group_name_H-M 'P 1'
_symmetry_Int_Tables_number 1
loop_
_symmetry_equiv_pos_as_xyz
'x,y,z'
loop_
_atom_site_label
_atom_site_type_symbol
_atom_site_fract_x
_atom_site_fract_y
_atom_site_fract_z
_atom_site_occupancy
Th1 Th 0.000 0.000 0.000 1
Ta1 Ta 0.500 0.500 0.500 1
Sb1 Sb 0.415 0.415 0.415 1
Sb2 Sb 0.585 0.585 0.585 1
```

Properties
The uncorrected formation energy comes out at 0.340 eV/atom. The space-group type is R-3m, No. 166. The calculation puts the total energy at -6.539 eV/atom.

***

3.
Computed, not measured: a geometry-optimized CrAsOs structure at the PBE-GGA level of DFT.

Cell and atoms, written as CIF:
```
data_CrAsOs
_cell_length_a 12.258
_cell_length_b 2.835
_cell_length_c 2.835
_cell_angle_alpha 58.89
_cell_angle_beta 90.00
_cell_angle_gamma 90.00
_symmetry_space_group_name_H-M 'P 1'
_symmetry_Int_Tables_number 1
loop_
_symmetry_equiv_pos_as_xyz
'x,y,z'
loop_
_atom_site_label
_atom_site_type_symbol
_atom_site_fract_x
_atom_site_fract_y
_atom_site_fract_z
_atom_site_occupancy
Cr1 Cr 0.000 0.000 0.000 1
Cr2 Cr 0.500 0.057 0.057 1
As1 As 0.347 0.746 0.746 1
As2 As 0.653 0.746 0.746 1
Os1 Os 0.161 0.317 0.317 1
Os2 Os 0.839 0.317 0.317 1
```

Properties
As for the energy relative to the elements: 0.8 eV/f.u. The space-group type is Amm2, No. 38. The calculation puts the total energy at -8.232 eV/atom. The calculation puts the energy above the lowest structure with this stoichiometry at 0.1477 eV per atom.

***

How do the records compare in M_tot? In the order shown, they have 21.24, 0.00, 0.29 μB/cell.
How do the records compare in DOS at the Fermi energy? In the order shown, they have 0.969, 1.272, 0.851 states/eV per atom.